Record 1
Density functional theory data (PBE-GGA) for ZrFe2Cl after structural relaxation.

abc: 5.5108 5.5108 5.5108
angles: 148.75 134.15 56.54
Fractional positions:
Zr (0.0000, 0.0000, 0.0000)
Fe (0.2566, 0.7566, 0.5000)
Fe (0.7434, 0.2434, 0.5000)
Cl (0.5000, 0.5000, 0.0000)

Properties
As for the raw formation energy: 13.69 kJ per mole of atoms. The value obtained for the total energy is -6.69 eV/atom. Its space group is No. 71.

Record 2
Density functional theory data (PBE-GGA) for LaTcC2 after structural relaxation.

abc: 6.1008 6.1008 6.1008
angles: 31.23 31.23 31.23
Fractional positions:
La (0.0000, 0.0000, 0.0000)
Tc (0.5000, 0.5000, 0.5000)
C (0.2308, 0.2308, 0.2308)
C (0.7692, 0.7692, 0.7692)

Properties
The value obtained for the total energy is -8.11 eV/atom. Its space group is No. 166.

Please write out number 2 again, unchanged.
Density functional theory data (PBE-GGA) for LaTcC2 after structural relaxation.

abc: 6.1008 6.1008 6.1008
angles: 31.23 31.23 31.23
Fractional positions:
La (0.0000, 0.0000, 0.0000)
Tc (0.5000, 0.5000, 0.5000)
C (0.2308, 0.2308, 0.2308)
C (0.7692, 0.7692, 0.7692)

Properties
The value obtained for the total energy is -8.11 eV/atom. Its space group is No. 166.